Entry i
Computed, not measured: an optimized crystal structure of Sn3HgBi at the PBE level of DFT.

Cell: 6.7031 6.7791 6.9390 Å, 90.00 110.77 90.00°
Atoms (fractional coordinates):
Sn  0.0045  0.0000  0.2370
Sn  0.3114  0.6662  0.1762
Sn  0.4804  0.6875  0.7430
Sn  0.5196  0.1875  0.2570
Sn  0.6886  0.1662  0.8238
Sn  0.9955  0.5000  0.7630
Hg  0.2459  0.3423  0.4921
Hg  0.7541  0.8423  0.5079
Bi  0.2031  0.0321  0.8349
Bi  0.7969  0.5321  0.1651

ρ = 8.63 g/cm3
space-group type = P2_1 (4)

---

Entry ii
Computed, not measured: an optimized crystal structure of Sn3HgBi at the PBE level of DFT.

Cell: 5.9816 5.9816 5.9816 Å, 90.00 90.00 90.00°
Atoms (fractional coordinates):
Sn  0.0000  0.0000  0.5000
Sn  0.0000  0.5000  0.0000
Sn  0.5000  0.0000  0.0000
Hg  0.5000  0.5000  0.5000
Bi  0.0000  0.0000  0.0000

ρ = 5.94 g/cm3
space-group type = Pm-3m (221)

---

Most stable of them? entry i.

---

Entry i
Computed, not measured: an optimized crystal structure of SrSnHgBi at the PBE level of DFT.

Cell: 5.6004 5.6004 5.6004 Å, 60.00 60.00 60.00°
Atoms (fractional coordinates):
Sr  0.0000  0.0000  0.0000
Sn  0.5000  0.5000  0.5000
Hg  0.7500  0.7500  0.7500
Bi  0.2500  0.2500  0.2500

ρ = 8.23 g/cm3
space-group type = F-43m (216)

---

Entry ii
Computed, not measured: an optimized crystal structure of SrSnHgBi at the PBE level of DFT.

Cell: 4.5724 5.0805 5.2109 Å, 90.00 90.00 90.00°
Atoms (fractional coordinates):
Sr  0.0000  0.0000  0.0000
Sn  0.0000  0.5000  0.5000
Hg  0.5000  0.5000  0.0000
Bi  0.5000  0.0000  0.5000

ρ = 8.45 g/cm3
space-group type = Pmmm (47)

---

Most stable of them? entry ii.

---

Entry i
Computed, not measured: an optimized crystal structure of SrHg3Bi at the PBE level of DFT.

Cell: 5.9868 5.9868 5.9868 Å, 90.00 90.00 90.00°
Atoms (fractional coordinates):
Sr  0.0000  0.0000  0.0000
Hg  0.0000  0.0000  0.5000
Hg  0.0000  0.5000  0.0000
Hg  0.5000  0.0000  0.0000
Bi  0.5000  0.5000  0.5000

ρ = 6.95 g/cm3
space-group type = Pm-3m (221)

---

Entry ii
Computed, not measured: an optimized crystal structure of SrHg3Bi at the PBE level of DFT.

Cell: 8.9199 7.0747 9.9998 Å, 90.00 106.11 90.00°
Atoms (fractional coordinates):
Sr  0.2256  0.0059  0.2916
Sr  0.2256  0.4941  0.7916
Sr  0.7744  0.5059  0.2084
Sr  0.7744  0.9941  0.7084
Hg  0.0136  0.7254  0.0123
Hg  0.0136  0.7746  0.5123
Hg  0.1599  0.0088  0.8177
Hg  0.1599  0.4912  0.3177
Hg  0.3695  0.1232  0.6275
Hg  0.3695  0.3768  0.1275
Hg  0.6305  0.6232  0.8725
Hg  0.6305  0.8768  0.3725
Hg  0.8401  0.5088  0.6823
Hg  0.8401  0.9912  0.1823
Hg  0.9864  0.2254  0.4877
Hg  0.9864  0.2746  0.9877
Bi  0.4254  0.6783  0.5579
Bi  0.4254  0.8217  0.0579
Bi  0.5746  0.1783  0.9421
Bi  0.5746  0.3217  0.4421

ρ = 9.84 g/cm3
space-group type = P2_1/c (14)

---

Most stable of them? entry ii.

---

Entry i
Computed, not measured: an optimized crystal structure of SrHgBi at the PBE level of DFT.

Cell: 5.3052 5.3052 5.3052 Å, 60.00 60.00 60.00°
Atoms (fractional coordinates):
Sr  0.0000  0.0000  0.0000
Hg  0.2500  0.2500  0.2500
Bi  0.5000  0.5000  0.5000

ρ = 7.82 g/cm3
space-group type = F-43m (216)

---

Entry ii
Computed, not measured: an optimized crystal structure of SrHgBi at the PBE level of DFT.

Cell: 6.6716 6.6716 6.6716 Å, 128.50 102.73 99.04°
Atoms (fractional coordinates):
Sr  0.2504  0.2500  0.5004
Sr  0.7496  0.7500  0.4996
Hg  0.2496  0.2496  0.0000
Hg  0.2496  0.7496  0.5000
Bi  0.6533  0.0003  0.1530
Bi  0.8473  0.5003  0.8470

ρ = 7.89 g/cm3
space-group type = Ima2 (46)

---

Most stable of them? entry i.